Mg3BiN: optimized geometry, PBE-GGA.

Cell lengths 7.210, 7.210, 7.210 Å; angles 130.38, 130.38, 72.81 degrees
Atoms (fractional coordinates):
1 Mg 0.131 0.131 0.000
2 Mg 0.376 0.128 0.752
3 Mg 0.376 0.624 0.248
4 Mg 0.376 0.624 0.752
5 Mg 0.869 0.869 0.000
6 Mg 0.872 0.624 0.248
7 Bi 0.615 0.115 0.500
8 Bi 0.885 0.385 0.500
9 N 0.250 0.750 0.500
10 N 0.500 0.500 0.000

## Properties
Magnetization (μB/atom): 0.000
Formation energy from raw total energies (eV/atom): 0.015